{
  "formula": "TlGaSeO6",
  "functional": "PBE",
  "state": "relaxed",
  "cell": [[5.065, 0.000, 0.000], [-2.532, 4.386, 0.000], [0.000, 0.000, 4.787]],
  "species": ["Tl", "Ga", "Se", "O", "O", "O", "O", "O", "O"],
  "frac_coords": [[0.000, 0.000, 0.000], [0.667, 0.333, 0.500], [0.333, 0.667, 0.500], [0.021, 0.383, 0.718], [0.021, 0.639, 0.282], [0.361, 0.383, 0.282], [0.361, 0.979, 0.718], [0.617, 0.639, 0.718], [0.617, 0.979, 0.282]],
  "energy_ev_per_cell": -46.81,
  "magnetic_moment_mub_per_cell": 0.0,
  "raw_formation_energy_ev_per_atom": -0.909
}